No. 1
Below is a geometry-optimized LaPm12Pr6 structure, with properties calculated at the PBE level.

Cell lengths 9.0241, 9.7357, 9.7358 Å; angles 69.10, 72.00, 108.00 degrees
Sites, in units of the cell vectors:
Pm 0.7369 0.5791 0.3683
Pm 0.8948 0.6317 0.9474
Pm 0.1577 0.0526 0.5791
Pr 0.0539 0.6851 0.5249
Pm 0.6843 0.8952 0.8418
Pm 0.7891 0.2631 0.8952
Pr 0.6312 0.2100 0.3149
Pm 0.4740 0.1582 0.7369
Pm 0.2631 0.4209 0.6317
Pm 0.2109 0.7369 0.1048
Pm 0.3157 0.1048 0.1582
Pm 0.5260 0.8418 0.2631
Pr 0.3688 0.7900 0.6851
Pm 0.1052 0.3683 0.0526
Pr 0.4212 0.4751 0.2100
Pm 0.8423 0.9474 0.4209
Pr 0.5788 0.5249 0.7900
Pr 0.9461 0.3149 0.4751
La 0.0000 0.0000 0.0000

## Properties
For the magnetic moment, the calculation gives 0.0 μB per formula unit. Its space group is R-3. The value obtained for the total energy is -4.76 eV/atom. Its volume is 670 Å³ per cell. The formation enthalpy at 0 K comes out at 14 meV per atom. The calculation puts the energy above the most stable polymorph in this dataset at 0 meV per atom.



No. 2
Below is a geometry-optimized Lu2PbS structure, with properties calculated at the PBE level.

Cell lengths 3.7716, 3.7716, 8.0131 Å; angles 76.39, 76.39, 60.00 degrees
Sites, in units of the cell vectors:
Lu 0.7325 0.7325 0.8024
S 0.0000 0.0000 0.0000
Pb 0.5000 0.5000 0.5000
Lu 0.2675 0.2675 0.1976

## Properties
For the magnetic moment, the calculation gives 0.0 μB per formula unit. Its space group is R-3m. The formation energy (no corrections) comes out at -1109 meV per atom. The value obtained for the total energy is -5.33 eV/atom. Its volume is 95 Å³ per cell.